Record 1
# SrCoCl2

A relaxed SrCoCl2 crystal (PBE, Alexandria).

Properties
- D(E_F): 1.351 states/eV/f.u.
- Raw formation energy: -74.51 kJ per mole of atoms
- SG: No. 122
- Raw total energy: -3.89 eV/atom
- Size of the total moment: 4.22 μB/cell

a b c (Å): 5.3462 5.3462 13.7882
angles (deg): 90.00 90.00 90.00
Last column: nearest neighbours and their distance in Å.
Fractional positions:
Sr: 0.0000 0.0000 0.0000  4 Cl 2.83
Sr: 0.0000 0.5000 0.2500  4 Cl 2.83
Sr: 0.5000 0.0000 0.7500  4 Cl 2.83
Sr: 0.5000 0.5000 0.5000  4 Cl 2.83
Co: 0.0000 0.0000 0.5000  4 Cl 2.35
Co: 0.0000 0.5000 0.7500  4 Cl 2.35
Co: 0.5000 0.0000 0.2500  4 Cl 2.35
Co: 0.5000 0.5000 0.0000  4 Cl 2.35
Cl: 0.1631 0.2500 0.6250  2 Co 2.35
Cl: 0.2500 0.6631 0.8750  2 Co 2.35
Cl: 0.2500 0.8369 0.3750  2 Co 2.35
Cl: 0.3369 0.2500 0.1250  2 Co 2.35
Cl: 0.6631 0.7500 0.1250  2 Co 2.35
Cl: 0.7500 0.1631 0.3750  2 Co 2.35
Cl: 0.7500 0.3369 0.8750  2 Co 2.35
Cl: 0.8369 0.7500 0.6250  2 Co 2.35

---

Record 2
# HoLuInCo

A relaxed HoLuInCo crystal (PBE, Alexandria).

Properties
- D(E_F): 2.368 states/eV/f.u.
- SG: No. 216
- Energy relative to the elements: -0.215 eV per atom
- Raw total energy: -4.95 eV/atom
- Size of the total moment: 4.84 μB/cell

a b c (Å): 7.0956 7.0956 7.0956
angles (deg): 90.00 90.00 90.00
Last column: nearest neighbours and their distance in Å.
Fractional positions:
Ho: 0.0000 0.0000 0.0000  4 In 3.07, 4 Co 3.07
Ho: 0.0000 0.5000 0.5000  4 In 3.07, 4 Co 3.07
Ho: 0.5000 0.0000 0.5000  4 In 3.07, 4 Co 3.07
Ho: 0.5000 0.5000 0.0000  4 In 3.07, 4 Co 3.07
Lu: 0.0000 0.0000 0.5000  4 In 3.07, 4 Co 3.07
Lu: 0.0000 0.5000 0.0000  4 In 3.07, 4 Co 3.07
Lu: 0.5000 0.0000 0.0000  4 In 3.07, 4 Co 3.07
Lu: 0.5000 0.5000 0.5000  4 In 3.07, 4 Co 3.07
In: 0.2500 0.2500 0.2500  4 Ho 3.07, 4 Lu 3.07
In: 0.2500 0.7500 0.7500  4 Ho 3.07, 4 Lu 3.07
In: 0.7500 0.2500 0.7500  4 Ho 3.07, 4 Lu 3.07
In: 0.7500 0.7500 0.2500  4 Ho 3.07, 4 Lu 3.07
Co: 0.2500 0.2500 0.7500  4 Ho 3.07, 4 Lu 3.07
Co: 0.2500 0.7500 0.2500  4 Ho 3.07, 4 Lu 3.07
Co: 0.7500 0.2500 0.2500  4 Ho 3.07, 4 Lu 3.07
Co: 0.7500 0.7500 0.7500  4 Ho 3.07, 4 Lu 3.07

---

Record 3
# TbPuTlRu

A relaxed TbPuTlRu crystal (PBE, Alexandria).

Properties
- D(E_F): 7.535 states/eV/f.u.
- SG: No. 99
- Energy relative to the elements: -0.236 eV per atom
- Raw total energy: -7.89 eV/atom
- Size of the total moment: 4.68 μB/cell

a b c (Å): 3.3511 3.3511 8.4329
angles (deg): 90.00 90.00 90.00
Last column: nearest neighbours and their distance in Å.
Fractional positions:
Tb: 0.0000 0.0000 0.0000  4 Ru 2.95
Pu: 0.0000 0.0000 0.5920  4 Ru 2.91
Tl: 0.5000 0.5000 0.2959  4 Tl 3.35, 4 Tb 3.44, 4 Pu 3.44
Ru: 0.5000 0.5000 0.7921  4 Pu 2.91, 4 Tb 2.95